# Zn2CdPt PBE optimized geometry
data_Zn2CdPt
_space_group_name_H-M_alt 'I -4 2 d'
_space_group_IT_number 122
_space_group_name_Hall 'I -4 2bw'
_cell_length_a 4.0029
_cell_length_b 4.0029
_cell_length_c 18.3685
_cell_angle_alpha 90.00
_cell_angle_beta 90.00
_cell_angle_gamma 90.00
loop_
_atom_site_label
_atom_site_type_symbol
_atom_site_fract_x
_atom_site_fract_y
_atom_site_fract_z
_atom_site_occupancy
Zn1 Zn 0.2049 0.2500 0.1250 1
Cd1 Cd 0.0000 0.0000 0.5000 1
Pt1 Pt 0.0000 0.0000 0.0000 1
# Raw total energy ... -2.44 eV/atom
# Crystal system ... tetragonal

# Ti2VNi6 PBE optimized geometry
data_Ti2VNi6
_space_group_name_H-M_alt 'P -3 m 1'
_space_group_IT_number 164
_space_group_name_Hall '-P 3 2"'
_cell_length_a 4.9303
_cell_length_b 4.9303
_cell_length_c 5.4206
_cell_angle_alpha 90.00
_cell_angle_beta 90.00
_cell_angle_gamma 120.00
loop_
_atom_site_label
_atom_site_type_symbol
_atom_site_fract_x
_atom_site_fract_y
_atom_site_fract_z
_atom_site_occupancy
Ti1 Ti 0.3333 0.6667 0.3683 1
V1 V 0.0000 0.0000 0.5000 1
Ni1 Ni 0.1732 0.3464 0.8216 1
# Raw total energy ... -6.86 eV/atom
# Crystal system ... trigonal

# ZrNi2Pb PBE optimized geometry
data_ZrNi2Pb
_space_group_name_H-M_alt 'P 4/m m m'
_space_group_IT_number 123
_space_group_name_Hall '-P 4 2'
_cell_length_a 4.4087
_cell_length_b 4.4087
_cell_length_c 3.5046
_cell_angle_alpha 90.00
_cell_angle_beta 90.00
_cell_angle_gamma 90.00
loop_
_atom_site_label
_atom_site_type_symbol
_atom_site_fract_x
_atom_site_fract_y
_atom_site_fract_z
_atom_site_occupancy
Zr1 Zr 0.0000 0.0000 0.0000 1
Ni1 Ni 0.0000 0.5000 0.5000 1
Pb1 Pb 0.5000 0.5000 0.0000 1
# Raw total energy ... -6.03 eV/atom
# Crystal system ... tetragonal